## P
Entry from the Alexandria database: a geometry-optimized Tb6PmPr12 structure (PBE).

Structure (CIF):
```
data_Tb6PmPr12
_chemical_formula_sum 'Tb18 Pm3 Pr36'
_cell_length_a 13.6246
_cell_length_b 13.6246
_cell_length_c 12.7243
_cell_angle_alpha 90.00
_cell_angle_beta 90.00
_cell_angle_gamma 120.00
_space_group_name_H-M_alt 'R -3 m'
_space_group_IT_number 166
_space_group_name_Hall '-R 3 2"'
loop_
_atom_site_label
_atom_site_fract_x
_atom_site_fract_y
_atom_site_fract_z
Tb1 0.0449 0.5225 0.1182
Pm1 0.0000 0.0000 0.5000
Pr1 0.0000 0.2590 0.0000
Pr2 0.0898 0.1796 0.7632
```

The calculation puts the size of the total moment at 0.00 μB per formula unit. For the density of states at the Fermi level, the calculation gives 114.4 states/eV per cell.


## Q
Entry from the Alexandria database: a geometry-optimized Tb6PmPr12 structure (PBE).

Structure (CIF):
```
data_Tb6PmPr12
_chemical_formula_sum 'Tb18 Pm3 Pr36'
_cell_length_a 12.2807
_cell_length_b 12.2807
_cell_length_c 15.4524
_cell_angle_alpha 90.00
_cell_angle_beta 90.00
_cell_angle_gamma 120.00
_space_group_name_H-M_alt 'R -3'
_space_group_IT_number 148
_space_group_name_Hall '-R 3'
loop_
_atom_site_label
_atom_site_fract_x
_atom_site_fract_y
_atom_site_fract_z
Tb1 0.0156 0.5878 0.1868
Pm1 0.0000 0.0000 0.5000
Pr1 0.0025 0.1736 0.6919
Pr2 0.0479 0.1983 0.9165
```

The calculation puts the size of the total moment at 0.00 μB per formula unit. For the density of states at the Fermi level, the calculation gives 93.1 states/eV per cell.


List of relative energies, unit meV/atom: P 60; Q 0


## P
Entry from the Alexandria database: a geometry-optimized TbPm3Pr2 structure (PBE).

Structure (CIF):
```
data_TbPm3Pr2
_chemical_formula_sum 'Tb2 Pm6 Pr4'
_cell_length_a 18.2902
_cell_length_b 3.5003
_cell_length_c 6.7005
_cell_angle_alpha 90.00
_cell_angle_beta 102.88
_cell_angle_gamma 90.00
_space_group_name_H-M_alt 'C 1 2/m 1'
_space_group_IT_number 12
loop_
_space_group_symop_operation_xyz
'x,y,z'
'-x,-y,-z'
'-x,y,-z'
'x,-y,z'
'x+1/2,y+1/2,z'
'-x+1/2,-y+1/2,-z'
'-x+1/2,y+1/2,-z'
'x+1/2,-y+1/2,z'
loop_
_atom_site_label
_atom_site_fract_x
_atom_site_fract_y
_atom_site_fract_z
Tb1 0.0000 0.0000 0.0000
Pm1 0.0000 0.0000 0.5000
Pm2 0.1705 0.0000 0.8592
Pr1 0.1610 0.5000 0.3490
```

The calculation puts the size of the total moment at 0.00 μB per formula unit. For the density of states at the Fermi level, the calculation gives 22.0 states/eV per cell.


## Q
Entry from the Alexandria database: a geometry-optimized TbPm3Pr2 structure (PBE).

Structure (CIF):
```
data_TbPm3Pr2
_chemical_formula_sum 'Tb2 Pm6 Pr4'
_cell_length_a 6.8289
_cell_length_b 17.9378
_cell_length_c 3.4456
_cell_angle_alpha 90.00
_cell_angle_beta 90.00
_cell_angle_gamma 90.00
_space_group_name_H-M_alt 'P n n m'
_space_group_IT_number 58
loop_
_space_group_symop_operation_xyz
'x,y,z'
'-x,-y,-z'
'-x,-y,z'
'x,y,-z'
'x+1/2,-y+1/2,-z+1/2'
'-x+1/2,y+1/2,z+1/2'
'-x+1/2,y+1/2,-z+1/2'
'x+1/2,-y+1/2,z+1/2'
loop_
_atom_site_label
_atom_site_fract_x
_atom_site_fract_y
_atom_site_fract_z
Tb1 0.0000 0.0000 0.0000
Pm1 0.0000 0.5000 0.0000
Pm2 0.2426 0.1772 0.0000
Pr1 0.2362 0.3484 0.5000
```

The calculation puts the size of the total moment at 0.00 μB per formula unit. For the density of states at the Fermi level, the calculation gives 20.5 states/eV per cell.


List of relative energies, unit meV/atom: P 0; Q 99


## P
Entry from the Alexandria database: a geometry-optimized TbPm3Pr3 structure (PBE).

Structure (CIF):
```
data_TbPm3Pr3
_chemical_formula_sum 'Tb6 Pm18 Pr18'
_cell_length_a 8.8284
_cell_length_b 8.8284
_cell_length_c 22.3469
_cell_angle_alpha 90.00
_cell_angle_beta 90.00
_cell_angle_gamma 120.00
_space_group_name_H-M_alt 'R -3'
_space_group_IT_number 148
_space_group_name_Hall '-R 3'
loop_
_atom_site_label
_atom_site_fract_x
_atom_site_fract_y
_atom_site_fract_z
Tb1 0.0000 0.0000 0.1540
Pm1 0.0508 0.4488 0.3806
Pr1 0.0037 0.2412 0.5586
```

The calculation puts the size of the total moment at 0.00 μB per formula unit. For the density of states at the Fermi level, the calculation gives 63.4 states/eV per cell.


## Q
Entry from the Alexandria database: a geometry-optimized TbPm3Pr3 structure (PBE).

Structure (CIF):
```
data_TbPm3Pr3
_chemical_formula_sum 'Tb2 Pm6 Pr6'
_cell_length_a 9.8161
_cell_length_b 9.8161
_cell_length_c 5.9019
_cell_angle_alpha 90.00
_cell_angle_beta 90.00
_cell_angle_gamma 120.00
_space_group_name_H-M_alt 'P 63/m'
_space_group_IT_number 176
_space_group_name_Hall '-P 6c'
loop_
_atom_site_label
_atom_site_fract_x
_atom_site_fract_y
_atom_site_fract_z
Tb1 0.3333 0.6667 0.2500
Pm1 0.0459 0.8082 0.2500
Pr1 0.0949 0.6201 0.7500
```

The calculation puts the size of the total moment at 0.00 μB per formula unit. For the density of states at the Fermi level, the calculation gives 24.3 states/eV per cell.


List of relative energies, unit meV/atom: P 193; Q 0